1.
Ir3RuW: relaxed, PBE-GGA.

Space group: C2/c, No. 15
ΔE to the lowest computed polymorph: 0.00 eV per formula unit
Crystal system: monoclinic
Calculated total energy: -9.951 eV/atom

Geometry as extended XYZ:
```
10
Lattice="4.535 0.177 1.395 1.333 4.535 0.419 0.239 0.079 7.287" Properties=species:S:1:pos:R:3 pbc="T T T"
Ir 1.248 1.623 3.377
Ir 4.975 1.795 7.388
Ir 4.185 3.981 4.273
Ir 3.946 1.709 2.672
Ir 2.348 3.890 2.173
Ir 3.395 3.975 6.843
Ru 4.999 3.980 1.624
Ru 3.132 1.710 5.321
W 2.074 1.628 0.693
W 1.522 3.884 4.856
```

=====

2.
IrRuW2: relaxed, PBE-GGA.

Space group: I-42d, No. 122
ΔE to the lowest computed polymorph: 5.60 eV per formula unit
Crystal system: tetragonal
Calculated total energy: -9.751 eV/atom

Geometry as extended XYZ:
```
8
Lattice="5.767 0.000 0.000 0.000 5.767 0.000 2.883 2.883 5.425" Properties=species:S:1:pos:R:3 pbc="T T T"
Ru 2.883 2.883 0.000
Ru 2.883 5.767 2.712
Ir 0.000 0.000 0.000
Ir 5.767 2.883 2.712
W 4.313 1.442 1.356
W 1.454 4.325 1.356
W 4.325 4.337 4.069
W 7.209 7.196 4.069
```

=====

3.
Ir3RuW: relaxed, PBE-GGA.

Space group: Pm-3m, No. 221
ΔE to the lowest computed polymorph: 10.87 eV per formula unit
Crystal system: cubic
Calculated total energy: -7.776 eV/atom

Geometry as extended XYZ:
```
5
Lattice="4.709 0.000 0.000 0.000 4.709 0.000 0.000 0.000 4.709" Properties=species:S:1:pos:R:3 pbc="T T T"
Ru 2.354 2.354 2.354
Ir 0.000 2.354 0.000
Ir 0.000 0.000 2.354
Ir 2.354 0.000 0.000
W 0.000 0.000 0.000
```

=====

4.
IrRuW2: relaxed, PBE-GGA.

Space group: R-3m, No. 166
ΔE to the lowest computed polymorph: 0.71 eV per formula unit
Crystal system: trigonal
Calculated total energy: -10.974 eV/atom

Geometry as extended XYZ:
```
4
Lattice="9.222 -0.007 -0.004 8.804 2.743 -0.004 8.804 1.336 2.396" Properties=species:S:1:pos:R:3 pbc="T T T"
Ir 6.708 1.018 0.597
Ru 20.123 3.054 1.790
W 26.826 4.071 2.387
W 13.420 2.037 1.194
```

=====

5.
IrRuW2: relaxed, PBE-GGA.

Space group: I4/mmm, No. 139
ΔE to the lowest computed polymorph: 0.00 eV per formula unit
Crystal system: tetragonal
Calculated total energy: -11.152 eV/atom

Geometry as extended XYZ:
```
4
Lattice="4.791 0.011 0.000 1.549 4.534 0.000 -3.170 -2.273 2.783" Properties=species:S:1:pos:R:3 pbc="T T T"
Ru 2.396 0.005 1.391
Ir 0.774 2.267 1.391
W 0.000 0.000 0.000
W 3.170 2.273 0.000
```

=====

6.
Ir3RuW2: relaxed, PBE-GGA.

Space group: R-3c, No. 167
Crystal system: trigonal
Calculated total energy: -9.774 eV/atom

Geometry as extended XYZ:
```
12
Lattice="-2.363 1.866 -6.727 0.135 -3.636 -6.410 -5.420 -2.703 -4.200" Properties=species:S:1:pos:R:3 pbc="T T T"
Ir -5.229 -1.133 -6.511
Ir -2.587 -4.046 -6.925
Ir -1.744 -0.412 -8.235
Ir -2.419 -3.340 -10.825
Ir -5.061 -0.427 -10.412
Ir -5.904 -4.061 -9.102
Ru -3.824 -2.237 -8.668
Ru 0.000 0.000 0.000
W -2.795 -1.635 -6.335
W -1.029 -0.602 -2.333
W -6.618 -3.871 -15.003
W -4.853 -2.839 -11.001
```

=====

7.
Ir2Ru3W2: relaxed, PBE-GGA.

Space group: C2/m, No. 12
Crystal system: monoclinic
Calculated total energy: -10.279 eV/atom

Geometry as extended XYZ:
```
7
Lattice="-2.028 -2.912 -1.620 5.255 -3.243 -0.750 5.119 -3.172 3.989" Properties=species:S:1:pos:R:3 pbc="T T T"
Ir 6.434 -7.559 0.835
Ir 1.911 -1.768 0.784
Ru 0.000 0.000 0.000
Ru 2.616 -4.041 -0.709
Ru 5.729 -5.286 2.328
W 4.574 -5.763 -0.065
W 3.771 -3.564 1.684
```

=====

8.
Ir4RuW: relaxed, PBE-GGA.

Space group: C2/m, No. 12
ΔE to the lowest computed polymorph: 2.24 eV per formula unit
Crystal system: monoclinic
Calculated total energy: -9.241 eV/atom

Geometry as extended XYZ:
```
6
Lattice="4.137 0.000 0.000 2.069 3.867 -0.213 2.069 0.087 6.470" Properties=species:S:1:pos:R:3 pbc="T T T"
Ir 4.137 2.489 0.599
Ir 4.137 1.465 5.659
Ir 2.069 0.624 3.982
Ir 6.206 3.330 2.276
Ru 0.000 0.000 0.000
W 4.137 1.977 3.129
```

=====

9.
YIrRuW2: relaxed, PBE-GGA.

Space group: P4/mmm, No. 123
Crystal system: tetragonal
Calculated total energy: -8.621 eV/atom

Geometry as extended XYZ:
```
5
Lattice="-0.994 4.141 1.873 -4.770 -1.527 0.845 1.252 -1.593 4.188" Properties=species:S:1:pos:R:3 pbc="T T T"
Y -2.385 -0.763 0.422
Ru 0.000 0.000 0.000
Ir -2.256 0.511 3.453
W 0.626 -0.797 2.094
W -0.497 2.071 0.936
```

=====

10.
ZnIrRuW: relaxed, PBE-GGA.

Space group: F-43m, No. 216
Crystal system: cubic
Calculated total energy: -8.141 eV/atom

Geometry as extended XYZ:
```
4
Lattice="-0.425 4.253 -0.878 -2.165 2.593 2.763 2.167 2.947 2.380" Properties=species:S:1:pos:R:3 pbc="T T T"
Ru -0.212 4.896 2.132
Zn -0.317 7.344 3.198
Ir 0.000 0.000 0.000
W -0.106 2.448 1.066
```

=====

11.
YIr2Ru: relaxed, PBE-GGA.

Space group: I4/mmm, No. 139
ΔE to the lowest computed polymorph: 0.30 eV per formula unit
Crystal system: tetragonal
Calculated total energy: -8.498 eV/atom

Geometry as extended XYZ:
```
4
Lattice="4.993 -0.009 -0.001 1.711 4.690 0.001 -3.352 -2.341 2.866" Properties=species:S:1:pos:R:3 pbc="T T T"
Ir 0.000 0.000 0.000
Ir 3.352 2.340 0.000
Ru 2.496 -0.005 1.433
Y 0.855 2.345 1.433
```

=====

12.
YIr4Ru: relaxed, PBE-GGA.

Space group: F-43m, No. 216
Crystal system: cubic
Calculated total energy: -8.583 eV/atom

Geometry as extended XYZ:
```
6
Lattice="0.000 3.715 3.715 3.715 0.000 3.715 3.715 3.715 0.000" Properties=species:S:1:pos:R:3 pbc="T T T"
Y 0.000 0.000 0.000
Ir 2.788 2.788 4.642
Ir 2.788 4.642 2.788
Ir 4.642 4.642 4.642
Ir 4.642 2.788 2.788
Ru 1.857 1.857 1.857
```

=====

Copy entry 4 word for word.
IrRuW2: relaxed, PBE-GGA.

Space group: R-3m, No. 166
ΔE to the lowest computed polymorph: 0.71 eV per formula unit
Crystal system: trigonal
Calculated total energy: -10.974 eV/atom

Geometry as extended XYZ:
```
4
Lattice="9.222 -0.007 -0.004 8.804 2.743 -0.004 8.804 1.336 2.396" Properties=species:S:1:pos:R:3 pbc="T T T"
Ir 6.708 1.018 0.597
Ru 20.123 3.054 1.790
W 26.826 4.071 2.387
W 13.420 2.037 1.194
```

=====

- Number 12 is which compound?
  YIr4Ru

=====

- Among the records above, which one has the highest calculated total energy?
  number 3